1.
Tb2PrSb (GGA-PBE, optimized geometry); symmetry = Cmcm (63); E_form (uncorrected) = -568 meV/atom
1.0
4.143 0.000 0.000
0.000 12.414 0.000
0.000 0.000 9.755
Tb Pr Sb
8 4 4
direct
0.000 0.138 0.041 Tb
0.000 0.138 0.459 Tb
0.000 0.862 0.541 Tb
0.000 0.862 0.959 Tb
0.500 0.362 0.541 Tb
0.500 0.362 0.959 Tb
0.500 0.638 0.041 Tb
0.500 0.638 0.459 Tb
0.000 0.443 0.250 Pr
0.000 0.557 0.750 Pr
0.500 0.057 0.750 Pr
0.500 0.943 0.250 Pr
0.000 0.265 0.750 Sb
0.000 0.735 0.250 Sb
0.500 0.235 0.250 Sb
0.500 0.765 0.750 Sb


2.
BeSeCl2 (GGA-PBE, optimized geometry); symmetry = I-4m2 (119); E_form (uncorrected) = 384 meV/atom
1.0
3.634 0.000 0.000
0.000 3.634 0.000
0.000 0.000 12.711
Be Se Cl
2 2 4
direct
0.000 0.000 0.000 Be
0.500 0.500 0.500 Be
0.000 0.500 0.250 Se
0.500 0.000 0.750 Se
0.000 0.000 0.500 Cl
0.000 0.500 0.750 Cl
0.500 0.000 0.250 Cl
0.500 0.500 0.000 Cl


3.
AcZnHg2F8 (GGA-PBE, optimized geometry); symmetry = P2/m (10); E_form (uncorrected) = -2382 meV/atom
1.0
4.420 0.000 0.000
0.000 7.629 0.000
-0.184 0.000 5.750
Ac Zn Hg F
1 1 2 8
direct
0.000 0.000 0.000 Ac
0.000 0.500 0.000 Zn
0.500 0.285 0.500 Hg
0.500 0.715 0.500 Hg
0.087 0.274 0.775 F
0.087 0.726 0.775 F
0.372 0.500 0.204 F
0.479 0.000 0.242 F
0.521 0.000 0.758 F
0.628 0.500 0.796 F
0.913 0.274 0.225 F
0.913 0.726 0.225 F


4.
Zn2AgOs (GGA-PBE, optimized geometry); symmetry = F-43m (216); energy of formation from the pure elements = 482 meV/atom
1.0
6.235 0.000 0.000
0.000 6.235 0.000
0.000 0.000 6.235
Zn Ag Os
8 4 4
direct
0.000 0.000 0.000 Zn
0.000 0.500 0.500 Zn
0.250 0.250 0.250 Zn
0.250 0.750 0.750 Zn
0.500 0.000 0.500 Zn
0.500 0.500 0.000 Zn
0.750 0.250 0.750 Zn
0.750 0.750 0.250 Zn
0.000 0.000 0.500 Ag
0.000 0.500 0.000 Ag
0.500 0.000 0.000 Ag
0.500 0.500 0.500 Ag
0.250 0.250 0.750 Os
0.250 0.750 0.250 Os
0.750 0.250 0.250 Os
0.750 0.750 0.750 Os